No. 1
# LaAs3H

A relaxed structure of LaAs3H (PBEsol, the Alexandria database).

## Properties
E	-25.8	eV per formula unit

Lattice parameters (Å, degrees): 4.4317 4.4317 4.4317 90.00 90.00 90.00
Fractional positions:
La  0.0000  0.0000  0.0000
As  0.0000  0.5000  0.5000
As  0.5000  0.0000  0.5000
As  0.5000  0.5000  0.0000
H  0.5000  0.5000  0.5000

---

No. 2
# CaTl2Cd

A relaxed structure of CaTl2Cd (PBEsol, the Alexandria database).

## Properties
E	-9.4	eV per formula unit
energy above the lowest structure with this stoichiometry	0.23	eV/f.u.
DFT formation energy	-213	meV/atom

Lattice parameters (Å, degrees): 3.5234 4.8539 6.2598 90.00 99.85 90.00
Fractional positions:
Ca  0.0000  0.0000  0.0000
Tl  0.3330  0.5000  0.7389
Tl  0.6670  0.5000  0.2611
Cd  0.5000  0.0000  0.5000

---

No. 3
# TaAlAu2

A relaxed structure of TaAlAu2 (PBEsol, the Alexandria database).

## Properties
E	-25.4	eV per formula unit
DFT formation energy	-237	meV/atom

Lattice parameters (Å, degrees): 2.9659 2.9659 7.4269 90.00 90.00 90.00
Fractional positions:
Ta  0.0000  0.0000  0.0000
Al  0.0000  0.0000  0.5000
Au  0.5000  0.5000  0.2652
Au  0.5000  0.5000  0.7348